Run P
Entry from the Alexandria database: a relaxed structure of K2AgCl (PBE).

a b c (Å): 8.466 8.466 7.661
angles (deg): 56.46 56.46 90.00
Positions (direct):
K1 0.588 0.125 0.250
K2 0.162 0.625 0.250
K3 0.375 0.412 0.750
K4 0.875 0.838 0.750
Ag1 0.000 0.000 0.000
Ag2 0.750 0.250 0.500
Cl1 0.500 0.500 0.000
Cl2 0.250 0.750 0.500

Output
The density of states at the Fermi level is 0.000 states/eV per atom. Its mass density is 2147 kg/m3. The crystal system is tetragonal. Its space group is I-42d.

---

Run Q
Entry from the Alexandria database: a relaxed structure of K2AgCl (PBE).

a b c (Å): 5.709 5.709 5.709
angles (deg): 60.00 60.00 60.00
Positions (direct):
K1 0.000 0.000 0.000
K2 0.250 0.250 0.250
Ag1 0.500 0.500 0.500
Cl1 0.750 0.750 0.750

Output
Its mass density is 2796 kg/m3. The crystal system is cubic. Its space group is F-43m.

---

Least stable: run Q

---

Run P
Entry from the Alexandria database: a relaxed structure of KAg2Cl (PBE).

a b c (Å): 4.502 4.502 5.757
angles (deg): 90.00 90.00 90.00
Positions (direct):
K1 0.500 0.500 0.750
Ag1 0.000 0.000 0.987
Ag2 0.000 0.000 0.513
Cl1 0.500 0.500 0.250

Output
The density of states at the Fermi level is 0.497 states/eV per atom. Its mass density is 4131 kg/m3. The crystal system is tetragonal. Its space group is P4/mmm.

---

Run Q
Entry from the Alexandria database: a relaxed structure of KAg2Cl (PBE).

a b c (Å): 5.339 5.339 5.339
angles (deg): 60.00 60.00 60.00
Positions (direct):
K1 0.500 0.500 0.500
Ag1 0.250 0.250 0.250
Ag2 0.750 0.750 0.750
Cl1 0.000 0.000 0.000

Output
The density of states at the Fermi level is 0.288 states/eV per atom. Its mass density is 4478 kg/m3. The crystal system is cubic. Its space group is Fm-3m.

---

Run R
Entry from the Alexandria database: a relaxed structure of KAg2Cl (PBE).

a b c (Å): 3.384 5.550 5.658
angles (deg): 90.00 90.00 90.00
Positions (direct):
K1 0.500 0.500 0.750
Ag1 0.000 0.000 0.996
Ag2 0.000 0.000 0.504
Cl1 0.500 0.500 0.250

Output
The density of states at the Fermi level is 0.277 states/eV per atom. Its mass density is 4536 kg/m3. The crystal system is orthorhombic. Its space group is Pmmm.

---

Run S
Entry from the Alexandria database: a relaxed structure of KAg2Cl (PBE).

a b c (Å): 7.372 7.372 7.372
angles (deg): 151.61 144.66 45.94
Positions (direct):
K1 0.750 0.250 0.500
Ag1 0.012 0.012 0.000
Ag2 0.488 0.488 0.000
Cl1 0.250 0.750 0.500

Output
The density of states at the Fermi level is 0.171 states/eV per atom. Its mass density is 4389 kg/m3. The crystal system is orthorhombic. Its space group is Immm.

---

Least stable: run Q

---

Run P
Entry from the Alexandria database: a relaxed structure of KAg2Cl (PBE).

a b c (Å): 9.911 9.911 9.911
angles (deg): 20.44 20.44 20.44
Positions (direct):
K1 0.750 0.750 0.750
Ag1 0.985 0.985 0.985
Ag2 0.515 0.515 0.515
Cl1 0.250 0.250 0.250

Output
The density of states at the Fermi level is 0.198 states/eV per atom. Its mass density is 4640 kg/m3. The crystal system is trigonal. Its space group is R-3m.

---

Run Q
Entry from the Alexandria database: a relaxed structure of KAg2Cl (PBE).

a b c (Å): 5.239 5.239 5.239
angles (deg): 120.03 120.03 89.95
Positions (direct):
K1 0.750 0.250 0.500
Ag1 0.000 0.000 0.000
Ag2 0.250 0.750 0.500
Cl1 0.500 0.500 0.000

Output
The density of states at the Fermi level is 0.063 states/eV per atom. Its mass density is 4744 kg/m3. The crystal system is cubic. Its space group is F-43m.

---

Run R
Entry from the Alexandria database: a relaxed structure of KAg2Cl (PBE).

a b c (Å): 9.191 9.191 7.079
angles (deg): 49.52 49.52 90.00
Positions (direct):
K1 0.000 0.000 0.000
K2 0.750 0.250 0.500
Ag1 0.573 0.125 0.250
Ag2 0.177 0.625 0.250
Ag3 0.375 0.427 0.750
Ag4 0.875 0.823 0.750
Cl1 0.500 0.500 0.000
Cl2 0.250 0.750 0.500

Output
The density of states at the Fermi level is 0.062 states/eV per atom. Its mass density is 4068 kg/m3. The crystal system is tetragonal. Its space group is I-42d.

---

Run S
Entry from the Alexandria database: a relaxed structure of KAg2Cl (PBE).

a b c (Å): 3.924 3.924 7.639
angles (deg): 90.00 90.00 90.00
Positions (direct):
K1 0.500 0.500 0.676
Ag1 0.000 0.000 0.173
Ag2 0.500 0.500 0.118
Cl1 0.000 0.000 0.533

Output
The density of states at the Fermi level is 0.193 states/eV per atom. Its mass density is 4098 kg/m3. The crystal system is tetragonal. Its space group is P4mm.

---

Least stable: run P

---

Run P
Entry from the Alexandria database: a relaxed structure of KAg2Cl (PBE).

a b c (Å): 3.901 4.230 6.930
angles (deg): 90.00 90.00 90.00
Positions (direct):
K1 0.000 0.500 0.500
Ag1 0.000 0.000 0.000
Ag2 0.500 0.500 0.000
Cl1 0.500 0.000 0.500

Output
The density of states at the Fermi level is 0.274 states/eV per atom. Its mass density is 4214 kg/m3. The crystal system is orthorhombic. Its space group is Pmmm.

---

Run Q
Entry from the Alexandria database: a relaxed structure of KAg2Cl (PBE).

a b c (Å): 4.946 4.946 7.671
angles (deg): 69.25 69.25 40.26
Positions (direct):
K1 0.210 0.210 0.284
Ag1 0.052 0.052 0.929
Ag2 0.809 0.809 0.803
Cl1 0.430 0.430 0.484

Output
The density of states at the Fermi level is 0.125 states/eV per atom. Its mass density is 4292 kg/m3. The crystal system is monoclinic. Its space group is Cm.

---

Least stable: run Q